Material: PrV2WO8
Method: DFT, PBE with a Hubbard U
State: optimized geometry

```
PrV2WO8
1.0
4.7715 0.0844 -0.0033
0.1276 4.7703 -0.0053
0.0044 0.0073 6.6085
Pr V W O
1 2 1 8
Direct
0.0000 0.0000 0.5000
0.5000 0.5000 0.7456
0.5000 0.5000 0.2544
0.0000 0.0000 0.0000
0.2087 0.7913 0.2106
0.7152 0.7153 0.0000
0.7913 0.2087 0.2106
0.7913 0.2087 0.7894
0.2848 0.2847 0.0000
0.2087 0.7913 0.7894
0.6670 0.6669 0.5000
0.3330 0.3331 0.5000
```

**Crystal system**: orthorhombic
**E_tot**: -7.759 eV per atom
**Total magnetization**: 3.00 μB per cell